Material: Ca2Cd5Hg
Method: DFT, PBE
State: optimized geometry

The calculation puts the calculated density at 6.65 g cm⁻³. The calculation puts the total energy at -0.1014 Ry/atom. Its calculated formation energy is -0.2698 eV per atom. The calculation puts the total moment at 0.000 μB per atom. For the density of states at the Fermi level, the calculation gives 4.0 states/eV/f.u.

The space group is Cmcm (No. 63) and the conventional cell measures 4.496, 18.161 and 10.305 Å, with angles of 90.00, 90.00 and 90.00 degrees. The inequivalent atoms are Ca at (0.000, 0.000, 0.000), Ca at (0.000, 0.182, 0.250), Cd at (0.000, 0.203, 0.604), Cd at (0.000, 0.363, 0.529), Cd at (0.000, 0.384, 0.250) and Hg at (0.000, 0.460, 0.750).


Material: Ca2Cd2Hg
Method: DFT, PBE
State: optimized geometry

As for the energy above the most stable polymorph in this dataset: 1.25 eV per formula unit. The calculation puts the calculated density at 5.33 g cm⁻³. The calculation puts the total energy at -0.0987 Ry/atom. Its calculated formation energy is -0.1162 eV per atom. The calculation puts the total moment at 0.000 μB per atom. For the density of states at the Fermi level, the calculation gives 2.2 states/eV/f.u.

The space group is I4/mmm (No. 139) and the conventional cell measures 6.112, 6.112 and 8.435 Å, with angles of 90.00, 90.00 and 90.00 degrees. The inequivalent atoms are Ca at (0.000, 0.500, 0.250), Cd at (0.000, 0.000, 0.158) and Hg at (0.000, 0.000, 0.500).


Material: Ca2CdHg12
Method: DFT, PBE
State: optimized geometry

The calculation puts the calculated density at 10.40 g cm⁻³. The calculation puts the total energy at -0.0504 Ry/atom. Its calculated formation energy is -0.1166 eV per atom. The calculation puts the total moment at 0.000 μB per atom. For the density of states at the Fermi level, the calculation gives 4.8 states/eV/f.u.

The space group is P4/nbm (No. 125, origin choice 2) and the conventional cell measures 6.177, 6.177 and 21.748 Å, with angles of 90.00, 90.00 and 90.00 degrees. The inequivalent atoms are Ca at (0.250, 0.750, 0.234), Cd at (0.250, 0.750, 0.500), Hg at (0.003, 0.503, 0.401), Hg at (0.068, 0.568, 0.066), Hg at (0.250, 0.250, 0.164) and Hg at (0.250, 0.250, 0.300).


Material: Ca2Cd6Hg
Method: DFT, PBE
State: optimized geometry

As for the energy above the most stable polymorph in this dataset: 0.30 eV per formula unit. The calculation puts the calculated density at 6.95 g cm⁻³. The calculation puts the total energy at -0.0961 Ry/atom. Its calculated formation energy is -0.2195 eV per atom. The calculation puts the total moment at 0.000 μB per atom. For the density of states at the Fermi level, the calculation gives 5.5 states/eV/f.u.

The space group is R-3m (No. 166, hexagonal axes) and the conventional cell measures 8.8893, 8.8893 and 10.0013 Å, with angles of 90.00, 90.00 and 120.00 degrees. The inequivalent atoms are Ca at (0.0000, 0.0000, 0.1781), Cd at (0.0000, 0.3325, 0.0000) and Hg at (0.0000, 0.0000, 0.5000).


Material: CaCd3Hg3
Method: DFT, PBE
State: optimized geometry

As for the energy above the most stable polymorph in this dataset: 2.57 eV per formula unit. The calculation puts the calculated density at 6.60 g cm⁻³. The calculation puts the total energy at -0.0457 Ry/atom. Its calculated formation energy is 0.1856 eV per atom. The calculation puts the total moment at 0.000 μB per atom. For the density of states at the Fermi level, the calculation gives 4.5 states/eV/f.u.

The space group is Pm-3n (No. 223) and the conventional cell measures 7.896, 7.896 and 7.896 Å, with angles of 90.00, 90.00 and 90.00 degrees. The inequivalent atoms are Ca at (0.000, 0.000, 0.000), Cd at (0.000, 0.250, 0.500) and Hg at (0.000, 0.500, 0.250).


Material: Ca2Cd2Hg
Method: DFT, PBE
State: optimized geometry

As for the energy above the most stable polymorph in this dataset: 0.00 eV per formula unit. The calculation puts the calculated density at 6.11 g cm⁻³. The calculation puts the total energy at -0.1171 Ry/atom. Its calculated formation energy is -0.3660 eV per atom. The calculation puts the total moment at 0.000 μB per atom. For the density of states at the Fermi level, the calculation gives 2.6 states/eV/f.u.

The space group is Amm2 (No. 38) and the conventional cell measures 3.803, 4.719 and 15.314 Å, with angles of 90.00, 90.00 and 90.00 degrees. The inequivalent atoms are Ca at (0.000, 0.000, 0.000), Ca at (0.000, 0.000, 0.239), Cd at (0.500, 0.000, 0.621), Cd at (0.500, 0.000, 0.815) and Hg at (0.500, 0.000, 0.425).


Material: CaCd5Hg6
Method: DFT, PBE
State: optimized geometry

As for the energy above the most stable polymorph in this dataset: 0.05 eV per formula unit. The calculation puts the calculated density at 10.14 g cm⁻³. The calculation puts the total energy at -0.0593 Ry/atom. Its calculated formation energy is -0.1076 eV per atom. The calculation puts the total moment at 0.000 μB per atom. For the density of states at the Fermi level, the calculation gives 5.4 states/eV/f.u.

The space group is C2/m (No. 12) and the conventional cell measures 5.231, 15.603 and 7.246 Å, with angles of 90.00, 91.55 and 90.00 degrees. The inequivalent atoms are Ca at (0.000, 0.000, 0.000), Cd at (0.000, 0.000, 0.500), Cd at (0.000, 0.330, 0.500), Cd at (0.000, 0.341, 0.000), Hg at (0.000, 0.170, 0.247) and Hg at (0.002, 0.500, 0.267).


Material: CaCd2Hg4
Method: DFT, PBE
State: optimized geometry

As for the energy above the most stable polymorph in this dataset: 0.64 eV per formula unit. The calculation puts the calculated density at 8.74 g cm⁻³. The calculation puts the total energy at -0.0571 Ry/atom. Its calculated formation energy is -0.0574 eV per atom. The calculation puts the total moment at 0.000 μB per atom. For the density of states at the Fermi level, the calculation gives 2.7 states/eV/f.u.

The space group is P-42m (No. 111) and the conventional cell measures 4.357, 4.357 and 10.685 Å, with angles of 90.00, 90.00 and 90.00 degrees. The inequivalent atoms are Ca at (0.000, 0.000, 0.000), Cd at (0.000, 0.500, 0.500) and Hg at (0.259, 0.259, 0.244).